This record from the Alexandria database describes a geometry-optimized LiIn3Hg structure. The functional is PBE-GGA.

```
LiIn3Hg
1.0
5.104 0.000 0.000
0.000 5.104 0.000
0.000 0.000 5.104
Li Hg In
1 1 3
Direct
0.000 0.000 0.000
0.500 0.500 0.500
0.000 0.500 0.000
0.000 0.000 0.500
0.500 0.000 0.000
```

**ΔH_f (0 K)**: 119 meV/atom
**Energy relative to the lowest polymorph listed for this composition**: 0.228 eV/atom

---

This record from the Alexandria database describes a geometry-optimized Ba3NaRh2O8 structure. The functional is PBE-GGA.

```
Ba3NaRh2O8
1.0
-2.880 -3.237 3.981
5.531 1.714 1.046
-2.678 6.565 3.401
Ba Na Rh O
3 1 2 8
Direct
0.333 0.667 0.625
0.667 0.333 0.375
0.000 0.000 0.000
0.000 0.000 0.500
0.333 0.667 0.186
0.667 0.333 0.814
0.333 0.667 0.952
0.667 0.333 0.048
0.175 0.825 0.315
0.825 0.175 0.685
0.175 0.350 0.315
0.825 0.650 0.685
0.650 0.825 0.315
0.350 0.175 0.685
```

**Formation energy (no corrections)**: -21.434 eV/f.u.

---

This record from the Alexandria database describes a geometry-optimized ErTmZr2N4 structure. The functional is PBE-GGA.

```
ErTmZr2N4
1.0
-1.654 2.599 -1.234
-4.664 -1.561 2.964
3.214 3.579 3.229
Er Tm Zr N
1 1 2 4
Direct
0.500 0.500 0.000
0.000 0.000 0.000
0.500 0.000 0.500
0.000 0.500 0.500
0.500 0.252 0.261
0.500 0.748 0.739
0.000 0.246 0.738
0.000 0.754 0.262
```

**Formation energy (no corrections)**: -14.199 eV/f.u.

---

This record from the Alexandria database describes a geometry-optimized ReSbCI2 structure. The functional is PBE-GGA.

```
ReSbCI2
1.0
5.530 0.000 0.000
0.000 5.530 0.000
0.000 0.000 5.140
I Re C Sb
2 1 1 1
Direct
0.000 0.500 0.000
0.500 0.000 0.000
0.000 0.000 0.000
0.500 0.500 0.500
0.000 0.000 0.500
```

**Formation energy (no corrections)**: 10.106 eV/f.u.

---

no.,total magnetic moment (μB per atom),DOS at the Fermi energy (states/eV per cell)
1,0.000,2.5
2,0.068,5.3
3,0.000,3.1
4,0.611,5.9